The following is a PBE-GGA calculation of a relaxed Sr2MnRe crystal, from the Alexandria database.

Calculated values
For the final energy, the calculation gives -5.0673 eV/atom. The energy above the most stable polymorph in this dataset is 797 meV per atom. The formation energy from the elements comes out at 1178 meV/atom.

Unit cell a=4.579 b=4.579 c=4.755 alpha=90.00 beta=90.00 gamma=90.00
Space group P4/mmm (No. 123)
One atom of each set of equivalent atoms:
Sr (0.000, 0.500, 0.000) (multiplicity 2)
Mn (0.000, 0.000, 0.500) (multiplicity 1)
Re (0.500, 0.500, 0.500) (multiplicity 1)



The following is a PBE-GGA calculation of a relaxed BaSc3 crystal, from the Alexandria database.

Calculated values
For the final energy, the calculation gives -4.8188 eV/atom. The energy above the most stable polymorph in this dataset is 176 meV per atom. The formation energy from the elements comes out at 411 meV/atom.

Unit cell a=4.948 b=4.948 c=4.948 alpha=90.00 beta=90.00 gamma=90.00
Space group Pm-3m (No. 221)
One atom of each set of equivalent atoms:
Ba (0.000, 0.000, 0.000) (multiplicity 1)
Sc (0.000, 0.500, 0.500) (multiplicity 3)



The following is a PBE-GGA calculation of a relaxed Nd4POsBr2 crystal, from the Alexandria database.

Calculated values
For the final energy, the calculation gives -5.9461 eV/atom. The value obtained for the uncorrected formation energy is -8.51 eV/f.u.

Unit cell a=7.455 b=4.124 c=7.833 alpha=90.00 beta=106.09 gamma=90.00
Space group P2/m (No. 10)
One atom of each set of equivalent atoms:
Nd (0.225, 0.000, 0.199) (multiplicity 2)
Nd (0.256, 0.500, 0.806) (multiplicity 2)
P (0.500, 0.000, 0.000) (multiplicity 1)
Os (0.000, 0.500, 0.000) (multiplicity 1)
Br (0.000, 0.000, 0.500) (multiplicity 1)
Br (0.500, 0.500, 0.500) (multiplicity 1)



The following is a PBE-GGA calculation of a relaxed Mg5In4 crystal, from the Alexandria database.

Calculated values
For the final energy, the calculation gives -2.1685 eV/atom. The energy above the most stable polymorph in this dataset is 0 meV per atom. The formation energy from the elements comes out at -66 meV/atom.

Unit cell a=9.804 b=9.804 c=4.435 alpha=90.00 beta=90.00 gamma=90.00
Space group I4/mmm (No. 139)
One atom of each set of equivalent atoms:
Mg (0.000, 0.000, 0.000) (multiplicity 2)
Mg (0.166, 0.166, 0.500) (multiplicity 8)
In (0.000, 0.323, 0.000) (multiplicity 8)



The following is a PBE-GGA calculation of a relaxed Sc11Tl9Rh4 crystal, from the Alexandria database.

Calculated values
For the final energy, the calculation gives -5.5260 eV/atom. The formation energy from the elements comes out at -511 meV/atom.

Unit cell a=14.126 b=21.104 c=3.464 alpha=90.00 beta=90.00 gamma=90.00
Space group Cmmm (No. 65)
One atom of each set of equivalent atoms:
Sc (0.000, 0.000, 0.000) (multiplicity 2)
Sc (0.000, 0.160, 0.000) (multiplicity 4)
Sc (0.000, 0.373, 0.000) (multiplicity 4)
Sc (0.188, 0.500, 0.000) (multiplicity 4)
Sc (0.250, 0.168, 0.000) (multiplicity 8)
Tl (0.000, 0.500, 0.500) (multiplicity 2)
Tl (0.110, 0.258, 0.500) (multiplicity 8)
Tl (0.143, 0.074, 0.500) (multiplicity 8)
Rh (0.151, 0.399, 0.500) (multiplicity 8)



The following is a PBE-GGA calculation of a relaxed TaCrAu2 crystal, from the Alexandria database.

Calculated values
For the final energy, the calculation gives -6.8306 eV/atom. The energy above the most stable polymorph in this dataset is 94 meV per atom. The formation energy from the elements comes out at 177 meV/atom.

Unit cell a=6.524 b=6.524 c=6.524 alpha=90.00 beta=90.00 gamma=90.00
Space group Fm-3m (No. 225)
One atom of each set of equivalent atoms:
Ta (0.000, 0.000, 0.000) (multiplicity 4)
Cr (0.000, 0.000, 0.500) (multiplicity 4)
Au (0.250, 0.250, 0.250) (multiplicity 8)



The following is a PBE-GGA calculation of a relaxed Ti2Te6Ir crystal, from the Alexandria database.

Calculated values
For the final energy, the calculation gives -5.3676 eV/atom. The value obtained for the uncorrected formation energy is -4.81 eV/f.u. The energy above the most stable polymorph in this dataset is 0 meV per atom.

Unit cell a=17.728 b=3.801 c=8.453 alpha=90.00 beta=115.20 gamma=90.00
Space group C2/m (No. 12)
One atom of each set of equivalent atoms:
Ti (0.153, 0.000, 0.304) (multiplicity 4)
Te (0.009, 0.000, 0.780) (multiplicity 4)
Te (0.168, 0.500, 0.086) (multiplicity 4)
Te (0.168, 0.500, 0.559) (multiplicity 4)
Ir (0.000, 0.500, 0.000) (multiplicity 2)



The following is a PBE-GGA calculation of a relaxed Cs2ReAsI6 crystal, from the Alexandria database.

Calculated values
For the final energy, the calculation gives -3.1831 eV/atom. The value obtained for the uncorrected formation energy is -3.73 eV/f.u.

Unit cell a=8.361 b=8.361 c=11.813 alpha=90.00 beta=90.00 gamma=90.00
Space group I4/mmm (No. 139)
One atom of each set of equivalent atoms:
Cs (0.000, 0.500, 0.250) (multiplicity 4)
Re (0.000, 0.000, 0.000) (multiplicity 2)
As (0.000, 0.000, 0.500) (multiplicity 2)
I (0.000, 0.000, 0.239) (multiplicity 4)
I (0.239, 0.239, 0.000) (multiplicity 8)



The following is a PBE-GGA calculation of a relaxed NaAuSCl2 crystal, from the Alexandria database.

Calculated values
For the final energy, the calculation gives -2.1482 eV/atom. The value obtained for the uncorrected formation energy is 1.68 eV/f.u. The energy above the most stable polymorph in this dataset is 708 meV per atom.

Unit cell a=5.067 b=5.067 c=5.165 alpha=90.00 beta=90.00 gamma=90.00
Space group P4/mmm (No. 123)
One atom of each set of equivalent atoms:
Na (0.000, 0.000, 0.000) (multiplicity 1)
Au (0.500, 0.500, 0.500) (multiplicity 1)
S (0.000, 0.000, 0.500) (multiplicity 1)
Cl (0.000, 0.500, 0.000) (multiplicity 2)



The following is a PBE-GGA calculation of a relaxed LaP3Rh2 crystal, from the Alexandria database.

Calculated values
For the final energy, the calculation gives -6.5241 eV/atom. The formation energy from the elements comes out at -547 meV/atom.

Unit cell a=5.5866 b=5.5866 c=3.8011 alpha=90.00 beta=90.00 gamma=120.00
Space group P6/mmm (No. 191)
One atom of each set of equivalent atoms:
La (0.0000, 0.0000, 0.0000) (multiplicity 1)
P (0.0000, 0.5000, 0.5000) (multiplicity 3)
Rh (0.3333, 0.6667, 0.0000) (multiplicity 2)



The following is a PBE-GGA calculation of a relaxed ZrBe2Te crystal, from the Alexandria database.

Calculated values
For the final energy, the calculation gives -4.8090 eV/atom. The value obtained for the uncorrected formation energy is -0.09 eV/f.u.

Unit cell a=3.783 b=3.825 c=8.908 alpha=90.00 beta=90.00 gamma=90.00
Space group Imm2 (No. 44)
One atom of each set of equivalent atoms:
Zr (0.000, 0.000, 0.000) (multiplicity 2)
Be (0.000, 0.000, 0.491) (multiplicity 2)
Be (0.000, 0.500, 0.755) (multiplicity 2)
Te (0.000, 0.500, 0.249) (multiplicity 2)



The following is a PBE-GGA calculation of a relaxed LiAg2As crystal, from the Alexandria database.

Calculated values
For the final energy, the calculation gives -3.2251 eV/atom. The formation energy from the elements comes out at -159 meV/atom.

Unit cell a=9.439 b=2.976 c=4.968 alpha=90.00 beta=97.41 gamma=90.00
Space group C2/m (No. 12)
One atom of each set of equivalent atoms:
Li (0.000, 0.000, 0.000) (multiplicity 2)
Ag (0.248, 0.000, 0.754) (multiplicity 4)
As (0.000, 0.500, 0.500) (multiplicity 2)



The following is a PBE-GGA calculation of a relaxed HfGa3Ru crystal, from the Alexandria database.

Calculated values
For the final energy, the calculation gives -5.3830 eV/atom. The energy above the most stable polymorph in this dataset is 0 meV per atom. The formation energy from the elements comes out at 279 meV/atom.

Unit cell a=4.729 b=4.729 c=4.729 alpha=90.00 beta=90.00 gamma=90.00
Space group Pm-3m (No. 221)
One atom of each set of equivalent atoms:
Hf (0.000, 0.000, 0.000) (multiplicity 1)
Ga (0.000, 0.500, 0.500) (multiplicity 3)
Ru (0.500, 0.500, 0.500) (multiplicity 1)



The following is a PBE-GGA calculation of a relaxed LuBiRh2 crystal, from the Alexandria database.

Calculated values
For the final energy, the calculation gives -6.3160 eV/atom. The formation energy from the elements comes out at -540 meV/atom.

Unit cell a=3.488 b=3.488 c=6.378 alpha=90.00 beta=90.00 gamma=90.00
Space group P4/mmm (No. 123)
One atom of each set of equivalent atoms:
Lu (0.000, 0.000, 0.000) (multiplicity 1)
Bi (0.000, 0.000, 0.500) (multiplicity 1)
Rh (0.500, 0.500, 0.243) (multiplicity 2)



The following is a PBE-GGA calculation of a relaxed TaTePd2 crystal, from the Alexandria database.

Calculated values
For the final energy, the calculation gives -6.3241 eV/atom. The value obtained for the uncorrected formation energy is 0.08 eV/f.u.

Unit cell a=7.428 b=7.428 c=5.546 alpha=90.00 beta=90.00 gamma=90.00
Space group I-42d (No. 122)
One atom of each set of equivalent atoms:
Ta (0.000, 0.000, 0.000) (multiplicity 4)
Te (0.000, 0.000, 0.500) (multiplicity 4)
Pd (0.248, 0.250, 0.125) (multiplicity 8)



The following is a PBE-GGA calculation of a relaxed Cs2CoSnSe4 crystal, from the Alexandria database.

Calculated values
For the final energy, the calculation gives -4.0361 eV/atom. The value obtained for the uncorrected formation energy is -5.54 eV/f.u.

Unit cell a=6.404 b=14.703 c=25.304 alpha=90.00 beta=90.00 gamma=90.00
Space group Fddd (No. 70, origin choice 2)
One atom of each set of equivalent atoms:
Cs (0.125, 0.125, 0.306) (multiplicity 16)
Co (0.125, 0.125, 0.625) (multiplicity 8)
Sn (0.125, 0.125, 0.125) (multiplicity 8)
Se (0.113, 0.283, 0.820) (multiplicity 32)



The following is a PBE-GGA calculation of a relaxed MnReAg2 crystal, from the Alexandria database.

Calculated values
For the final energy, the calculation gives -6.2962 eV/atom. The energy above the most stable polymorph in this dataset is 207 meV per atom. The formation energy from the elements comes out at 534 meV/atom.

Unit cell a=9.124 b=2.707 c=5.183 alpha=90.00 beta=97.50 gamma=90.00
Space group Cm (No. 8)
One atom of each set of equivalent atoms:
Mn (0.000, 0.000, 0.000) (multiplicity 2)
Re (0.256, 0.000, 0.811) (multiplicity 2)
Ag (0.004, 0.500, 0.528) (multiplicity 2)
Ag (0.250, 0.500, 0.292) (multiplicity 2)



The following is a PBE-GGA calculation of a relaxed Si2RuBr crystal, from the Alexandria database.

Calculated values
For the final energy, the calculation gives -4.7341 eV/atom. The value obtained for the uncorrected formation energy is 2.86 eV/f.u. The energy above the most stable polymorph in this dataset is 687 meV per atom.

Unit cell a=6.349 b=6.349 c=6.349 alpha=90.00 beta=90.00 gamma=90.00
Space group F-43m (No. 216)
One atom of each set of equivalent atoms:
Si (0.000, 0.000, 0.000) (multiplicity 4)
Si (0.250, 0.250, 0.250) (multiplicity 4)
Ru (0.000, 0.000, 0.500) (multiplicity 4)
Br (0.250, 0.250, 0.750) (multiplicity 4)



The following is a PBE-GGA calculation of a relaxed Ac3NdSe4 crystal, from the Alexandria database.

Calculated values
For the final energy, the calculation gives -5.7105 eV/atom. The value obtained for the uncorrected formation energy is -14.65 eV/f.u. The energy above the most stable polymorph in this dataset is 21 meV per atom.

Unit cell a=6.246 b=6.246 c=6.246 alpha=90.00 beta=90.00 gamma=90.00
Space group Pm-3m (No. 221)
One atom of each set of equivalent atoms:
Ac (0.000, 0.000, 0.500) (multiplicity 3)
Nd (0.500, 0.500, 0.500) (multiplicity 1)
Se (0.000, 0.000, 0.000) (multiplicity 1)
Se (0.000, 0.500, 0.500) (multiplicity 3)



The following is a PBE-GGA calculation of a relaxed Li3Co crystal, from the Alexandria database.

Calculated values
For the final energy, the calculation gives -2.8801 eV/atom. The formation energy from the elements comes out at 332 meV/atom.

Unit cell a=3.812 b=3.812 c=3.812 alpha=90.00 beta=90.00 gamma=90.00
Space group Pm-3m (No. 221)
One atom of each set of equivalent atoms:
Li (0.000, 0.000, 0.500) (multiplicity 3)
Co (0.500, 0.500, 0.500) (multiplicity 1)



The following is a PBE-GGA calculation of a relaxed BeZnIn crystal, from the Alexandria database.

Calculated values
For the final energy, the calculation gives -2.3461 eV/atom. The energy above the most stable polymorph in this dataset is 31 meV per atom. The formation energy from the elements comes out at 233 meV/atom.

Unit cell a=5.901 b=5.901 c=5.901 alpha=90.00 beta=90.00 gamma=90.00
Space group F-43m (No. 216)
One atom of each set of equivalent atoms:
Be (0.000, 0.000, 0.000) (multiplicity 4)
Zn (0.250, 0.250, 0.750) (multiplicity 4)
In (0.250, 0.250, 0.250) (multiplicity 4)



The following is a PBE-GGA calculation of a relaxed LiCe2Pb crystal, from the Alexandria database.

Calculated values
For the final energy, the calculation gives -4.5867 eV/atom. The formation energy from the elements comes out at -214 meV/atom.

Unit cell a=4.441 b=4.441 c=5.038 alpha=90.00 beta=90.00 gamma=90.00
Space group P4/mmm (No. 123)
One atom of each set of equivalent atoms:
Li (0.000, 0.000, 0.000) (multiplicity 1)
Ce (0.000, 0.500, 0.500) (multiplicity 2)
Pb (0.500, 0.500, 0.000) (multiplicity 1)



The following is a PBE-GGA calculation of a relaxed SrBiAs2 crystal, from the Alexandria database.

Calculated values
For the final energy, the calculation gives -3.9883 eV/atom. The formation energy from the elements comes out at -273 meV/atom.

Unit cell a=7.729 b=7.729 c=9.039 alpha=90.00 beta=90.00 gamma=90.00
Space group I-42d (No. 122)
One atom of each set of equivalent atoms:
Sr (0.000, 0.000, 0.000) (multiplicity 4)
Bi (0.000, 0.000, 0.500) (multiplicity 4)
As (0.215, 0.250, 0.625) (multiplicity 8)



The following is a PBE-GGA calculation of a relaxed Te2SeBr crystal, from the Alexandria database.

Calculated values
For the final energy, the calculation gives -2.6322 eV/atom. The value obtained for the uncorrected formation energy is 0.91 eV/f.u. The energy above the most stable polymorph in this dataset is 289 meV per atom.

Unit cell a=3.882 b=3.882 c=7.487 alpha=90.00 beta=90.00 gamma=90.00
Space group P4/mmm (No. 123)
One atom of each set of equivalent atoms:
Te (0.000, 0.000, 0.187) (multiplicity 2)
Se (0.500, 0.500, 0.000) (multiplicity 1)
Br (0.500, 0.500, 0.500) (multiplicity 1)